! HgBrF3 | Alexandria via LeMat-Bulk | PBE-GGA | optimized geometry; values from VASP
! Calculated density ... 6.084 g cm⁻³
! Uncorrected formation energy ... -2.2 eV per formula unit
! Density of states at the Fermi level ... 0.53 states/eV/atom
&SYSTEM
  ibrav = 0, nat = 5, ntyp = 3
/
ATOMIC_SPECIES
F 19.00 F.upf
Hg 200.59 Hg.upf
Br 79.90 Br.upf
CELL_PARAMETERS angstrom
-4.477 0.590 -0.066
-0.317 -2.797 -3.532
-0.502 -3.496 2.814
ATOMIC_POSITIONS crystal
F 0.000 0.500 0.000
F 0.000 0.000 0.500
F 0.500 0.000 0.000
Hg 0.500 0.500 0.500
Br 0.000 0.000 0.000